Computed, not measured: crystalline Ce6PuHg3 at its relaxed geometry at the PBE level of DFT.

The formation energy is -0.26 eV/atom. The value obtained for the total magnetization is 0.01 Bohr magnetons per cell.

The space group is R-3m (No. 166, hexagonal axes) and the conventional cell measures 10.5209, 10.5209 and 16.6898 Å, with angles of 90.00, 90.00 and 120.00 degrees. The inequivalent atoms are Ce at (0.1093, 0.2186, 0.4120), Ce at (0.1097, 0.2194, 0.0855), Pu at (0.0000, 0.0000, 0.0000), Pu at (0.0000, 0.0000, 0.5000) and Hg at (0.1015, 0.5507, 0.4139).

Computed, not measured: crystalline AlTc2Ag at its relaxed geometry at the PBE level of DFT.

The formation energy is 0.66 eV/atom. The value obtained for the total magnetization is 0.00 Bohr magnetons per cell.

The space group is I-42d (No. 122) and the conventional cell measures 7.2620, 7.2620 and 5.0323 Å, with angles of 90.00, 90.00 and 90.00 degrees. The inequivalent atoms are Al at (0.0000, 0.0000, 0.0000), Tc at (0.2193, 0.2500, 0.1250) and Ag at (0.0000, 0.0000, 0.5000).